(1)
Material: Nd2DyThP4
Method: DFT, GGA-PBE
State: optimized geometry

a = 7.125 Å, b = 4.127 Å, c = 7.152 Å
α = 90.00°, β = 109.43°, γ = 90.00°
Positions (direct):
Nd (0.000, 0.000, 0.000)
Nd (0.500, 0.500, 0.000)
Dy (0.000, 0.500, 0.500)
Th (0.500, 0.000, 0.500)
P (0.245, 0.000, 0.742)
P (0.249, 0.500, 0.256)
P (0.751, 0.500, 0.744)
P (0.755, 0.000, 0.258)

Results
- calculated formation energy (meV/atom) = -1583
- uncorrected energy (eV/cell) = -55.9
- crystal system = monoclinic
- magnetic moment (Bohr magnetons per cell) = 0.000

---

(2)
Material: NdDy2ThP4
Method: DFT, GGA-PBE
State: optimized geometry

a = 7.051 Å, b = 4.088 Å, c = 7.075 Å
α = 90.00°, β = 109.48°, γ = 90.00°
Positions (direct):
Nd (0.000, 0.000, 0.000)
Dy (0.500, 0.000, 0.500)
Dy (0.500, 0.500, 0.000)
Th (0.000, 0.500, 0.500)
P (0.257, 0.000, 0.751)
P (0.258, 0.500, 0.255)
P (0.742, 0.500, 0.745)
P (0.743, 0.000, 0.249)

Results
- calculated formation energy (meV/atom) = -1598
- uncorrected energy (eV/cell) = -55.8
- crystal system = monoclinic
- magnetic moment (Bohr magnetons per cell) = 0.000

---

(3)
Material: NdDyTh2P4
Method: DFT, GGA-PBE
State: optimized geometry

a = 7.106 Å, b = 4.125 Å, c = 7.147 Å
α = 90.00°, β = 109.64°, γ = 90.00°
Positions (direct):
Nd (0.000, 0.000, 0.000)
Dy (0.000, 0.500, 0.500)
Th (0.500, 0.000, 0.500)
Th (0.500, 0.500, 0.000)
P (0.247, 0.000, 0.745)
P (0.250, 0.500, 0.254)
P (0.750, 0.500, 0.746)
P (0.753, 0.000, 0.255)

Results
- calculated formation energy (meV/atom) = -1570
- uncorrected energy (eV/cell) = -58.4
- crystal system = monoclinic
- magnetic moment (Bohr magnetons per cell) = 0.000

---

(4)
Material: NdDy2Th3P6
Method: DFT, GGA-PBE
State: optimized geometry

a = 7.122 Å, b = 7.122 Å, c = 7.076 Å
α = 99.68°, β = 99.68°, γ = 119.92°
Positions (direct):
Nd (0.000, 0.000, 0.000)
Dy (0.333, 0.667, 0.000)
Dy (0.667, 0.333, 0.000)
Th (0.166, 0.834, 0.500)
Th (0.500, 0.500, 0.500)
Th (0.834, 0.166, 0.500)
P (0.082, 0.421, 0.247)
P (0.257, 0.257, 0.754)
P (0.421, 0.082, 0.247)
P (0.579, 0.918, 0.753)
P (0.743, 0.743, 0.246)
P (0.918, 0.579, 0.753)

Results
- calculated formation energy (meV/atom) = -1576
- uncorrected energy (eV/cell) = -87.6
- crystal system = monoclinic
- magnetic moment (Bohr magnetons per cell) = 0.000

---

(5)
Material: NdDyTm2P4
Method: DFT, GGA-PBE
State: optimized geometry

a = 6.958 Å, b = 4.022 Å, c = 6.962 Å
α = 90.00°, β = 109.48°, γ = 90.00°
Positions (direct):
Nd (0.000, 0.000, 0.000)
Dy (0.000, 0.500, 0.500)
Tm (0.500, 0.000, 0.500)
Tm (0.500, 0.500, 0.000)
P (0.257, 0.000, 0.748)
P (0.260, 0.500, 0.258)
P (0.740, 0.500, 0.742)
P (0.743, 0.000, 0.252)

Results
- calculated formation energy (meV/atom) = -1579
- uncorrected energy (eV/cell) = -52.6
- crystal system = monoclinic
- magnetic moment (Bohr magnetons per cell) = 0.000

---

(6)
Material: NdDy3Tm2P6
Method: DFT, GGA-PBE
State: optimized geometry

a = 6.956 Å, b = 6.956 Å, c = 6.957 Å
α = 99.59°, β = 99.59°, γ = 120.00°
Positions (direct):
Nd (0.000, 0.000, 0.000)
Dy (0.165, 0.835, 0.500)
Dy (0.500, 0.500, 0.500)
Dy (0.835, 0.165, 0.500)
Tm (0.333, 0.667, 0.000)
Tm (0.667, 0.333, 0.000)
P (0.084, 0.424, 0.251)
P (0.257, 0.257, 0.750)
P (0.424, 0.084, 0.251)
P (0.576, 0.916, 0.749)
P (0.743, 0.743, 0.250)
P (0.916, 0.576, 0.749)

Results
- calculated formation energy (meV/atom) = -1588
- uncorrected energy (eV/cell) = -79.0
- crystal system = monoclinic
- magnetic moment (Bohr magnetons per cell) = 0.000

---

(7)
Material: Nd2DyTmP4
Method: DFT, GGA-PBE
State: optimized geometry

a = 7.051 Å, b = 4.076 Å, c = 7.057 Å
α = 90.00°, β = 109.48°, γ = 90.00°
Positions (direct):
Nd (0.000, 0.000, 0.000)
Nd (0.000, 0.500, 0.500)
Dy (0.500, 0.000, 0.500)
Tm (0.500, 0.500, 0.000)
P (0.261, 0.500, 0.252)
P (0.262, 0.000, 0.756)
P (0.738, 0.000, 0.244)
P (0.739, 0.500, 0.748)

Results
- calculated formation energy (meV/atom) = -1564
- uncorrected energy (eV/cell) = -52.8
- crystal system = monoclinic
- magnetic moment (Bohr magnetons per cell) = 0.000

---

(8)
Material: NdDy2Y3P6
Method: DFT, GGA-PBE
State: optimized geometry

a = 6.994 Å, b = 6.994 Å, c = 6.995 Å
α = 99.59°, β = 99.59°, γ = 120.00°
Positions (direct):
Nd (0.000, 0.000, 0.000)
Dy (0.333, 0.667, 0.000)
Dy (0.667, 0.333, 0.000)
Y (0.166, 0.834, 0.500)
Y (0.500, 0.500, 0.500)
Y (0.834, 0.166, 0.500)
P (0.084, 0.423, 0.253)
P (0.255, 0.255, 0.748)
P (0.423, 0.084, 0.253)
P (0.577, 0.916, 0.747)
P (0.745, 0.745, 0.252)
P (0.916, 0.577, 0.747)

Results
- calculated formation energy (meV/atom) = -1603
- uncorrected energy (eV/cell) = -85.1
- crystal system = monoclinic
- magnetic moment (Bohr magnetons per cell) = 0.000

---

(9)
Material: Nd2DyYP4
Method: DFT, GGA-PBE
State: optimized geometry

a = 7.080 Å, b = 4.092 Å, c = 7.083 Å
α = 90.00°, β = 109.47°, γ = 90.00°
Positions (direct):
Nd (0.000, 0.000, 0.000)
Nd (0.000, 0.500, 0.500)
Dy (0.500, 0.000, 0.500)
Y (0.500, 0.500, 0.000)
P (0.259, 0.000, 0.753)
P (0.259, 0.500, 0.253)
P (0.741, 0.000, 0.247)
P (0.741, 0.500, 0.747)

Results
- calculated formation energy (meV/atom) = -1574
- uncorrected energy (eV/cell) = -54.8
- crystal system = monoclinic
- magnetic moment (Bohr magnetons per cell) = 0.000

---

(10)
Material: Nd2DyZrP4
Method: DFT, GGA-PBE
State: optimized geometry

a = 6.937 Å, b = 4.003 Å, c = 6.957 Å
α = 90.00°, β = 109.24°, γ = 90.00°
Positions (direct):
Nd (0.000, 0.000, 0.000)
Nd (0.500, 0.500, 0.000)
Dy (0.000, 0.500, 0.500)
Zr (0.500, 0.000, 0.500)
P (0.253, 0.000, 0.734)
P (0.264, 0.500, 0.271)
P (0.736, 0.500, 0.729)
P (0.747, 0.000, 0.266)

Results
- calculated formation energy (meV/atom) = -1505
- uncorrected energy (eV/cell) = -56.4
- crystal system = monoclinic
- magnetic moment (Bohr magnetons per cell) = 0.000

---

(11)
Material: NdDyPa2Rh4
Method: DFT, GGA-PBE
State: optimized geometry

a = 6.926 Å, b = 5.691 Å, c = 6.695 Å
α = 67.44°, β = 49.36°, γ = 63.21°
Positions (direct):
Nd (0.000, 0.000, 0.000)
Dy (0.416, 0.416, 0.584)
Pa (0.264, 0.264, 0.236)
Pa (0.764, 0.764, 0.736)
Rh (0.291, 0.758, 0.242)
Rh (0.518, 0.908, 0.482)
Rh (0.758, 0.291, 0.709)
Rh (0.908, 0.518, 0.092)

Results
- calculated formation energy (meV/atom) = -670
- uncorrected energy (eV/cell) = -63.1
- crystal system = orthorhombic
- magnetic moment (Bohr magnetons per cell) = 0.000

---

(12)
Material: Nd2DyPaRu2
Method: DFT, GGA-PBE
State: optimized geometry

a = 8.356 Å, b = 8.356 Å, c = 8.356 Å
α = 131.14°, β = 71.15°, γ = 131.70°
Positions (direct):
Nd (0.194, 0.225, 0.418)
Nd (0.306, 0.725, 0.031)
Nd (0.694, 0.275, 0.969)
Nd (0.806, 0.775, 0.582)
Dy (0.250, 0.750, 0.500)
Dy (0.750, 0.250, 0.500)
Pa (0.250, 0.250, 0.000)
Pa (0.750, 0.750, 0.000)
Ru (0.096, 0.789, 0.885)
Ru (0.404, 0.289, 0.693)
Ru (0.596, 0.711, 0.307)
Ru (0.904, 0.211, 0.115)

Results
- calculated formation energy (meV/atom) = -297
- uncorrected energy (eV/cell) = -87.9
- crystal system = orthorhombic
- magnetic moment (Bohr magnetons per cell) = 0.000

---

(13)
Material: Nd2DyPa2Ru5
Method: DFT, GGA-PBE
State: optimized geometry

a = 11.157 Å, b = 11.157 Å, c = 3.455 Å
α = 90.00°, β = 90.00°, γ = 90.00°
Positions (direct):
Nd (0.166, 0.334, 0.000)
Nd (0.334, 0.834, 0.000)
Nd (0.666, 0.166, 0.000)
Nd (0.834, 0.666, 0.000)
Dy (0.000, 0.000, 0.000)
Dy (0.500, 0.500, 0.000)
Pa (0.144, 0.644, 0.000)
Pa (0.356, 0.144, 0.000)
Pa (0.644, 0.856, 0.000)
Pa (0.856, 0.356, 0.000)
Ru (0.000, 0.500, 0.500)
Ru (0.043, 0.784, 0.500)
Ru (0.216, 0.043, 0.500)
Ru (0.284, 0.543, 0.500)
Ru (0.457, 0.284, 0.500)
Ru (0.500, 0.000, 0.500)
Ru (0.543, 0.716, 0.500)
Ru (0.716, 0.457, 0.500)
Ru (0.784, 0.957, 0.500)
Ru (0.957, 0.216, 0.500)

Results
- calculated formation energy (meV/atom) = -264
- uncorrected energy (eV/cell) = -164.3
- crystal system = tetragonal
- magnetic moment (Bohr magnetons per cell) = 0.001

---

(14)
Material: NdDy2PaS4
Method: DFT, GGA-PBE
State: optimized geometry

a = 6.810 Å, b = 3.902 Å, c = 6.880 Å
α = 90.00°, β = 108.90°, γ = 90.00°
Positions (direct):
Nd (0.000, 0.000, 0.000)
Dy (0.000, 0.500, 0.500)
Dy (0.500, 0.000, 0.500)
Pa (0.500, 0.500, 0.000)
S (0.253, 0.000, 0.743)
S (0.259, 0.500, 0.260)
S (0.741, 0.500, 0.740)
S (0.747, 0.000, 0.257)

Results
- uncorrected energy (eV/cell) = -55.0
- crystal system = monoclinic
- magnetic moment (Bohr magnetons per cell) = 0.001
- energy relative to the elements, uncorrected (eV/atom) = -1.881

---

(15)
Material: Nd2DyPaS4
Method: DFT, GGA-PBE
State: optimized geometry

a = 6.902 Å, b = 3.957 Å, c = 6.914 Å
α = 90.00°, β = 109.06°, γ = 90.00°
Positions (direct):
Nd (0.000, 0.000, 0.000)
Nd (0.500, 0.500, 0.000)
Dy (0.000, 0.500, 0.500)
Pa (0.500, 0.000, 0.500)
S (0.245, 0.000, 0.735)
S (0.253, 0.500, 0.263)
S (0.747, 0.500, 0.737)
S (0.755, 0.000, 0.265)

Results
- uncorrected energy (eV/cell) = -55.3
- crystal system = monoclinic
- magnetic moment (Bohr magnetons per cell) = 0.002
- energy relative to the elements, uncorrected (eV/atom) = -1.894

---

(16)
Material: NdDyPa2Sb4
Method: DFT, GGA-PBE
State: optimized geometry

a = 7.622 Å, b = 4.401 Å, c = 7.679 Å
α = 90.00°, β = 109.32°, γ = 90.00°
Positions (direct):
Nd (0.000, 0.000, 0.000)
Dy (0.500, 0.500, 0.000)
Pa (0.000, 0.500, 0.500)
Pa (0.500, 0.000, 0.500)
Sb (0.254, 0.000, 0.748)
Sb (0.256, 0.500, 0.255)
Sb (0.744, 0.500, 0.745)
Sb (0.746, 0.000, 0.252)

Results
- uncorrected energy (eV/cell) = -51.1
- crystal system = monoclinic
- magnetic moment (Bohr magnetons per cell) = 1.838
- energy relative to the elements, uncorrected (eV/atom) = -0.783

---

(17)
Material: NdDy2PaSb4
Method: DFT, GGA-PBE
State: optimized geometry

a = 7.625 Å, b = 4.411 Å, c = 7.659 Å
α = 90.00°, β = 109.35°, γ = 90.00°
Positions (direct):
Nd (0.000, 0.000, 0.000)
Dy (0.500, 0.000, 0.500)
Dy (0.500, 0.500, 0.000)
Pa (0.000, 0.500, 0.500)
Sb (0.253, 0.000, 0.747)
Sb (0.255, 0.500, 0.257)
Sb (0.745, 0.500, 0.743)
Sb (0.747, 0.000, 0.253)

Results
- uncorrected energy (eV/cell) = -47.7
- crystal system = monoclinic
- magnetic moment (Bohr magnetons per cell) = 0.906
- energy relative to the elements, uncorrected (eV/atom) = -0.970

---

(18)
Material: NdDy2PaSe4
Method: DFT, GGA-PBE
State: optimized geometry

a = 7.090 Å, b = 4.054 Å, c = 7.219 Å
α = 90.00°, β = 108.73°, γ = 90.00°
Positions (direct):
Nd (0.000, 0.000, 0.000)
Dy (0.000, 0.500, 0.500)
Dy (0.500, 0.000, 0.500)
Pa (0.500, 0.500, 0.000)
Se (0.252, 0.000, 0.743)
Se (0.258, 0.500, 0.260)
Se (0.742, 0.500, 0.740)
Se (0.748, 0.000, 0.257)

Results
- uncorrected energy (eV/cell) = -50.3
- crystal system = monoclinic
- magnetic moment (Bohr magnetons per cell) = 0.875
- energy relative to the elements, uncorrected (eV/atom) = -1.616

---

(19)
Material: Nd14DyPb
Method: DFT, GGA-PBE
State: optimized geometry

a = 7.272 Å, b = 7.272 Å, c = 10.324 Å
α = 90.00°, β = 90.00°, γ = 90.00°
Positions (direct):
Nd (0.000, 0.000, 0.000)
Nd (0.000, 0.500, 0.000)
Nd (0.000, 0.500, 0.500)
Nd (0.249, 0.249, 0.255)
Nd (0.249, 0.249, 0.745)
Nd (0.249, 0.751, 0.255)
Nd (0.249, 0.751, 0.745)
Nd (0.500, 0.000, 0.000)
Nd (0.500, 0.000, 0.500)
Nd (0.500, 0.500, 0.000)
Nd (0.751, 0.249, 0.255)
Nd (0.751, 0.249, 0.745)
Nd (0.751, 0.751, 0.255)
Nd (0.751, 0.751, 0.745)
Dy (0.500, 0.500, 0.500)
Pb (0.000, 0.000, 0.500)

Results
- calculated formation energy (meV/atom) = -52
- uncorrected energy (eV/cell) = -75.9
- crystal system = tetragonal
- magnetic moment (Bohr magnetons per cell) = 0.000

---

(20)
Material: NdDyPb2
Method: DFT, GGA-PBE
State: optimized geometry

a = 5.069 Å, b = 5.069 Å, c = 4.539 Å
α = 90.00°, β = 90.00°, γ = 90.00°
Positions (direct):
Nd (0.000, 0.000, 0.000)
Dy (0.500, 0.500, 0.000)
Pb (0.000, 0.500, 0.500)
Pb (0.500, 0.000, 0.500)

Results
- calculated formation energy (meV/atom) = -469
- uncorrected energy (eV/cell) = -18.7
- crystal system = tetragonal
- magnetic moment (Bohr magnetons per cell) = 0.002